[1]
Na5Ga2Ag4: optimized geometry, PBE-GGA.

Summary:
E_tot: -0.0797 hartree per atom
energy relative to the elements: 2 kJ per mole of atoms
magnetic moment: 0.00 μB/atom
crystal system: orthorhombic

Lattice parameters (Å, degrees): 10.554 10.554 10.554 163.87 127.23 55.56
Fractional coordinates of all 11 atoms:
Na 0.000 0.000 0.000
Na 0.067 0.342 0.725
Na 0.383 0.658 0.725
Na 0.617 0.342 0.275
Na 0.933 0.658 0.275
Ga 0.275 0.775 0.500
Ga 0.725 0.225 0.500
Ag 0.288 0.500 0.788
Ag 0.417 0.917 0.500
Ag 0.583 0.083 0.500
Ag 0.712 0.500 0.212

=====

[2]
Nd3DyEr2: optimized geometry, PBE-GGA.

Summary:
E_tot: -0.1715 hartree per atom
energy relative to the elements: 1 kJ per mole of atoms
magnetic moment: 0.00 μB/atom
crystal system: monoclinic

Lattice parameters (Å, degrees): 9.659 9.659 6.291 102.56 102.56 44.09
Fractional coordinates of all 12 atoms:
Nd 0.042 0.293 0.027
Nd 0.129 0.871 0.750
Nd 0.293 0.042 0.527
Nd 0.707 0.958 0.473
Nd 0.871 0.129 0.250
Nd 0.958 0.707 0.973
Dy 0.378 0.622 0.250
Dy 0.622 0.378 0.750
Er 0.210 0.457 0.472
Er 0.457 0.210 0.972
Er 0.543 0.790 0.028
Er 0.790 0.543 0.528

=====

[3]
Rb4Na2CdHg2: optimized geometry, PBE-GGA.

Summary:
E_tot: -0.0365 hartree per atom
energy relative to the elements: -10 kJ per mole of atoms
magnetic moment: 0.00 μB/atom
crystal system: triclinic

Lattice parameters (Å, degrees): 7.422 7.865 8.499 64.17 82.31 73.40
Fractional coordinates of all 9 atoms:
Rb 0.088 0.018 0.232
Rb 0.279 0.411 0.694
Rb 0.721 0.589 0.306
Rb 0.912 0.982 0.768
Na 0.294 0.479 0.159
Na 0.706 0.521 0.841
Cd 0.500 0.000 0.500
Hg 0.421 0.875 0.894
Hg 0.579 0.125 0.106

=====

[4]
Nd4SiTeBr2: optimized geometry, PBE-GGA.

Summary:
E_tot: -0.1864 hartree per atom
E_form (uncorrected): -1.199 eV/atom
magnetic moment: 0.00 μB/atom
crystal system: monoclinic

Lattice parameters (Å, degrees): 7.543 4.333 7.783 90.00 109.43 90.00
Fractional coordinates of all 8 atoms:
Nd 0.216 0.000 0.213
Nd 0.228 0.500 0.779
Nd 0.772 0.500 0.221
Nd 0.784 0.000 0.787
Si 0.000 0.500 0.000
Te 0.000 0.000 0.500
Br 0.500 0.000 0.000
Br 0.500 0.500 0.500

=====

[5]
CsAl2GaH: optimized geometry, PBE-GGA.

Summary:
E_tot: -0.0577 hartree per atom
magnetic moment: 0.00 μB/atom
crystal system: tetragonal

Lattice parameters (Å, degrees): 6.365 6.365 4.055 90.00 90.00 90.00
Fractional coordinates of all 5 atoms:
Cs 0.000 0.000 0.000
Al 0.000 0.500 0.000
Al 0.500 0.000 0.000
Ga 0.500 0.500 0.500
H 0.000 0.000 0.500

=====

[6]
NaPrY2: optimized geometry, PBE-GGA.

Summary:
E_tot: -0.1694 hartree per atom
energy relative to the elements: 14 kJ per mole of atoms
magnetic moment: 0.00 μB/atom
crystal system: tetragonal

Lattice parameters (Å, degrees): 3.618 3.618 10.517 90.00 90.00 90.00
Fractional coordinates of all 4 atoms:
Na 0.000 0.000 0.000
Pr 0.000 0.000 0.500
Y 0.500 0.500 0.264
Y 0.500 0.500 0.736

=====

[7]
Ba4Hf3TlO12: optimized geometry, PBE-GGA.

Summary:
E_tot: -0.2870 hartree per atom
E_form (uncorrected): -2.839 eV/atom
magnetic moment: 0.00 μB/atom
crystal system: cubic

Lattice parameters (Å, degrees): 7.365 7.365 7.365 109.47 109.47 109.47
Fractional coordinates of all 20 atoms:
Ba 0.000 0.000 0.500
Ba 0.000 0.500 0.000
Ba 0.500 0.000 0.000
Ba 0.500 0.500 0.500
Hf 0.000 0.500 0.500
Hf 0.500 0.000 0.500
Hf 0.500 0.500 0.000
Tl 0.000 0.000 0.000
O 0.000 0.261 0.261
O 0.000 0.739 0.739
O 0.250 0.500 0.750
O 0.250 0.750 0.500
O 0.261 0.000 0.261
O 0.261 0.261 0.000
O 0.500 0.250 0.750
O 0.500 0.750 0.250
O 0.739 0.000 0.739
O 0.739 0.739 0.000
O 0.750 0.250 0.500
O 0.750 0.500 0.250

=====

[8]
Ga2TcPb: optimized geometry, PBE-GGA.

Summary:
E_tot: -0.1687 hartree per atom
energy relative to the elements: 42 kJ per mole of atoms
magnetic moment: 0.31 μB/atom
crystal system: tetragonal

Lattice parameters (Å, degrees): 9.624 9.624 9.624 154.18 154.18 36.84
Fractional coordinates of all 8 atoms:
Ga 0.043 0.625 0.918
Ga 0.375 0.293 0.418
Ga 0.707 0.125 0.082
Ga 0.875 0.957 0.582
Tc 0.000 0.000 0.000
Tc 0.750 0.250 0.500
Pb 0.250 0.750 0.500
Pb 0.500 0.500 0.000

=====

[9]
NaYSn2: optimized geometry, PBE-GGA.

Summary:
E_tot: -0.1602 hartree per atom
energy relative to the elements: -40 kJ per mole of atoms
magnetic moment: 0.00 μB/atom
crystal system: tetragonal

Lattice parameters (Å, degrees): 3.412 3.412 9.338 90.00 90.00 90.00
Fractional coordinates of all 4 atoms:
Na 0.000 0.000 0.000
Y 0.000 0.000 0.500
Sn 0.500 0.500 0.259
Sn 0.500 0.500 0.741

=====

[10]
CoNiBPb2: optimized geometry, PBE-GGA.

Summary:
E_tot: -0.1713 hartree per atom
energy relative to the elements: 71 kJ per mole of atoms
magnetic moment: 0.00 μB/atom
crystal system: tetragonal

Lattice parameters (Å, degrees): 5.042 5.042 3.763 90.00 90.00 90.00
Fractional coordinates of all 5 atoms:
Co 0.000 0.000 0.000
Ni 0.500 0.500 0.500
B 0.000 0.000 0.500
Pb 0.000 0.500 0.000
Pb 0.500 0.000 0.000

=====

[11]
ScRhS2N: optimized geometry, PBE-GGA.

Summary:
E_tot: -0.2014 hartree per atom
E_form (uncorrected): 0.573 eV/atom
magnetic moment: 0.00 μB/atom
crystal system: tetragonal

Lattice parameters (Å, degrees): 4.870 4.870 3.970 90.00 90.00 90.00
Fractional coordinates of all 5 atoms:
Sc 0.000 0.000 0.000
Rh 0.500 0.500 0.500
S 0.000 0.500 0.000
S 0.500 0.000 0.000
N 0.000 0.000 0.500

=====

[12]
GaAg3: optimized geometry, PBE-GGA.

Summary:
E_tot: -0.1055 hartree per atom
energy relative to the elements: 2 kJ per mole of atoms
magnetic moment: 0.00 μB/atom
crystal system: cubic

Lattice parameters (Å, degrees): 4.631 4.631 4.631 60.00 60.00 60.00
Fractional coordinates of all 4 atoms:
Ga 0.000 0.000 0.000
Ag 0.250 0.250 0.250
Ag 0.500 0.500 0.500
Ag 0.750 0.750 0.750